This record from Alexandria via LeMat-Bulk describes a relaxed structure of Cs4Tb3ZrTe8. The functional is PBE.

Unit cell a=8.987 b=10.333 c=8.989 alpha=115.80 beta=119.99 gamma=90.00
Site moments in Bohr magnetons follow the coordinates.
Atoms (fractional coordinates):
Te1 0.269 0.307 0.538  0.00
Te2 0.776 0.312 0.035  -0.01
Te3 0.259 0.312 0.035  -0.01
Te4 0.776 0.312 0.553  -0.01
Te5 0.224 0.688 0.447  -0.01
Te6 0.741 0.688 0.965  -0.01
Te7 0.731 0.693 0.462  0.00
Te8 0.224 0.688 0.965  -0.01
Cs1 0.000 0.000 0.000  0.00
Cs2 0.500 0.000 0.000  0.00
Cs3 0.000 0.000 0.500  0.00
Cs4 0.500 0.000 0.500  0.00
Tb1 0.500 0.500 0.000  0.03
Tb2 0.000 0.500 0.500  0.03
Tb3 0.500 0.500 0.500  0.03
Zr1 0.000 0.500 0.000  0.43

- Density of states at the Fermi level: 0.29 states/eV/atom
- Formation energy from raw total energies: -29.1 kcal/mol of atoms
- Magnetic moment: 0.84 μB per formula unit

---

This record from Alexandria via LeMat-Bulk describes a relaxed structure of Ca3Pm3PrTe8. The functional is PBE.

Unit cell a=8.917 b=8.914 c=9.011 alpha=119.66 beta=90.00 gamma=120.01
Atoms (fractional coordinates):
Te1 0.255 0.509 0.754
Te2 0.745 0.999 0.754
Te3 0.746 0.001 0.246
Te4 0.249 0.499 0.248
Te5 0.255 0.001 0.246
Te6 0.751 0.501 0.752
Te7 0.745 0.491 0.246
Te8 0.254 0.999 0.754
Pm1 0.500 0.000 0.500
Pm2 0.500 0.500 0.500
Pm3 0.000 0.500 0.500
Pr1 0.000 0.000 0.500
Ca1 0.500 0.500 0.000
Ca2 0.000 0.000 0.000
Ca3 0.000 0.500 0.000

- Density of states at the Fermi level: 0.33 states/eV/atom
- Formation energy from raw total energies: -35.0 kcal/mol of atoms
- Magnetic moment: 0.00 μB per formula unit

---

This record from Alexandria via LeMat-Bulk describes a relaxed structure of Tb2CeDyBi4. The functional is PBE.

Unit cell a=4.520 b=7.821 c=7.818 alpha=70.55 beta=90.00 gamma=90.00
Site moments in Bohr magnetons follow the coordinates.
Atoms (fractional coordinates):
Bi1 0.500 0.751 0.252  -0.01
Bi2 0.500 0.249 0.748  -0.01
Bi3 0.000 0.247 0.254  -0.02
Bi4 0.000 0.753 0.746  -0.02
Tb1 0.500 0.000 0.500  -0.01
Tb2 0.000 0.000 0.000  0.00
Ce1 0.500 0.500 0.000  0.78
Dy1 0.000 0.500 0.500  0.00

- Density of states at the Fermi level: 0.88 states/eV/atom
- Magnetic moment: 0.79 μB per formula unit
- Energy relative to the elements: -0.852 eV per atom

---

This record from Alexandria via LeMat-Bulk describes a relaxed structure of Rb3In4Ag. The functional is PBE.

Unit cell a=6.845 b=6.454 c=14.839 alpha=90.00 beta=90.00 gamma=90.00
Atoms (fractional coordinates):
In1 0.688 0.000 0.390
In2 0.015 0.768 0.000
In3 0.312 0.500 0.110
In4 0.688 0.000 0.610
In5 0.312 0.500 0.890
In6 0.985 0.732 0.500
In7 0.985 0.268 0.500
In8 0.015 0.232 0.000
Rb1 0.204 0.000 0.260
Rb2 0.796 0.500 0.240
Rb3 0.204 0.000 0.740
Rb4 0.483 0.500 0.500
Rb5 0.796 0.500 0.760
Rb6 0.517 0.000 0.000
Ag1 0.328 0.000 0.500
Ag2 0.672 0.500 0.000

- Density of states at the Fermi level: 0.60 states/eV/atom
- Magnetic moment: 0.00 μB per formula unit
- Energy relative to the elements: -0.047 eV per atom